A geometry-optimized TmTl2OsO6 structure, computed with PBE.

a b c (Å): 5.6738 6.4304 6.4304
angles (deg): 120.00 90.00 90.00
Last column: magnetic moment on the atom in μB.
Fractional positions:
O 0.2053 0.8629 0.1371  0.03
Tm 0.5000 0.0000 0.0000  0.03
O 0.7947 0.1371 0.8629  0.03
O 0.2053 0.2742 0.1371  0.03
O 0.7947 0.1371 0.2742  0.03
O 0.2053 0.8629 0.7258  0.03
O 0.7947 0.7258 0.8629  0.03
Os 0.0000 0.0000 0.0000  0.51
Tl 0.0411 0.3333 0.6667  0.01
Tl 0.9589 0.6667 0.3333  0.01

## Properties
electronic total energy = -6.44 eV/atom
Fermi-level density of states = 0.464 states/eV per atom



A geometry-optimized CaTe2As structure, computed with PBE.

a b c (Å): 6.9195 6.9195 4.4132
angles (deg): 108.27 108.27 37.15
Fractional positions:
Te 0.5171 0.5171 0.5168
Te 0.9829 0.9829 0.9832
Ca 0.2500 0.2500 0.2500
As 0.7500 0.7500 0.7500

## Properties
electronic total energy = -3.75 eV/atom
Fermi-level density of states = 0.326 states/eV per atom



A geometry-optimized Dy2Al9Ir6 structure, computed with PBE.

a b c (Å): 5.4235 5.4235 12.1215
angles (deg): 90.00 90.00 120.00
Fractional positions:
Dy 0.0000 0.0000 0.6633
Al 0.5000 0.0000 0.1616
Dy 0.0000 0.0000 0.3367
Al 0.5000 0.5000 0.5000
Ir 0.3333 0.6667 0.6714
Ir 0.3333 0.6667 0.3286
Al 0.0000 0.5000 0.5000
Al 0.5000 0.0000 0.8384
Al 0.5000 0.0000 0.5000
Al 0.5000 0.5000 0.1616
Ir 0.6667 0.3333 0.0000
Ir 0.3333 0.6667 0.0000
Al 0.0000 0.5000 0.8384
Ir 0.6667 0.3333 0.6714
Al 0.5000 0.5000 0.8384
Ir 0.6667 0.3333 0.3286
Al 0.0000 0.5000 0.1616

## Properties
electronic total energy = -6.28 eV/atom
ΔE_f = -0.6348 eV per atom
Fermi-level density of states = 0.427 states/eV per atom



A geometry-optimized KYCdS3 structure, computed with PBE.

a b c (Å): 4.1272 8.6266 9.9920
angles (deg): 107.24 90.00 90.00
Fractional positions:
Cd 0.7500 0.9145 0.3886
K 0.2500 0.2079 0.2183
S 0.7500 0.2262 0.5481
Cd 0.2500 0.0855 0.6114
S 0.2500 0.7738 0.4519
Y 0.7500 0.3321 0.8644
S 0.2500 0.5403 0.8552
S 0.2500 0.1127 0.8670
S 0.7500 0.4597 0.1448
K 0.7500 0.7921 0.7817
S 0.7500 0.8873 0.1330
Y 0.2500 0.6679 0.1356

## Properties
electronic total energy = -4.87 eV/atom
Fermi-level density of states = 0.000 states/eV per atom



Q: The highest Fermi-level density of states belongs to which entry?
A: TmTl2OsO6